Record 1
! GGA-PBEsol MgBP2O, relaxed; values from VASP
&SYSTEM
  ibrav = 0, nat = 5, ntyp = 4
/
ATOMIC_SPECIES
Mg 24.30 Mg.upf
B 10.81 B.upf
P 30.97 P.upf
O 16.00 O.upf
ATOMIC_POSITIONS angstrom
Mg 0.000 0.000 0.000
B 2.426 2.426 1.759
P 0.000 2.426 0.000
P 2.426 0.000 0.000
O 0.000 0.000 1.759
CELL_PARAMETERS angstrom
4.852 0.000 0.000
0.000 4.852 0.000
0.000 0.000 3.518
! Energy above the lowest structure with this stoichiometry (meV/atom): 1377
! Calculated volume (Å³ per atom): 16.57
! Raw formation energy (eV/atom): 1.23
! Total magnetization (μB per cell): 0.0

***

Record 2
! GGA-PBEsol CdCo2Si, relaxed; values from VASP
&SYSTEM
  ibrav = 0, nat = 4, ntyp = 3
/
ATOMIC_SPECIES
Cd 112.41 Cd.upf
Co 58.93 Co.upf
Si 28.09 Si.upf
ATOMIC_POSITIONS angstrom
Cd 0.000 0.000 0.000
Co 2.060 0.000 1.450
Co 0.000 2.060 1.450
Si 0.000 0.000 2.900
CELL_PARAMETERS angstrom
-2.060 2.060 2.900
2.060 -2.060 2.900
2.060 2.060 -2.900
! Energy above the lowest structure with this stoichiometry (meV/atom): 48
! Calculated volume (Å³ per atom): 12.30
! Raw formation energy (eV/atom): 0.00
! Total magnetization (μB per cell): 0.4

***

Record 3
! GGA-PBEsol LiZn2Ag, relaxed; values from VASP
&SYSTEM
  ibrav = 0, nat = 4, ntyp = 3
/
ATOMIC_SPECIES
Li 6.94 Li.upf
Zn 65.41 Zn.upf
Ag 107.87 Ag.upf
ATOMIC_POSITIONS angstrom
Li 0.000 0.000 0.000
Zn 1.343 2.012 1.358
Zn 1.343 -2.012 1.358
Ag 2.686 0.000 0.000
CELL_PARAMETERS angstrom
2.686 -4.024 0.000
2.686 4.024 0.000
0.000 0.000 2.715
! ΔE_f (kJ/mol of formula units): -44
! Calculated volume (Å³ per atom): 14.68
! Total magnetization (μB per cell): 0.0

***

Record 4
! GGA-PBEsol CaTlSbTe2, relaxed; values from VASP
&SYSTEM
  ibrav = 0, nat = 5, ntyp = 4
/
ATOMIC_SPECIES
Ca 40.08 Ca.upf
Tl 204.38 Tl.upf
Sb 121.76 Sb.upf
Te 127.60 Te.upf
ATOMIC_POSITIONS angstrom
Ca 0.000 0.000 0.000
Tl 0.000 0.000 2.820
Sb 2.845 2.845 2.820
Te 0.000 2.845 0.000
Te 2.845 0.000 0.000
CELL_PARAMETERS angstrom
5.689 0.000 0.000
0.000 5.689 0.000
0.000 0.000 5.640
! Calculated volume (Å³ per atom): 36.51
! Raw formation energy (eV/atom): 0.30
! Total magnetization (μB per cell): 0.0

***

Record 5
! GGA-PBEsol CdW2Cl, relaxed; values from VASP
&SYSTEM
  ibrav = 0, nat = 4, ntyp = 3
/
ATOMIC_SPECIES
Cd 112.41 Cd.upf
W 183.84 W.upf
Cl 35.45 Cl.upf
ATOMIC_POSITIONS angstrom
Cd 0.000 0.000 0.000
W 0.000 0.000 6.592
W 0.000 0.000 20.527
Cl 0.000 0.000 13.559
CELL_PARAMETERS angstrom
1.431 0.826 9.040
-1.431 0.826 9.040
0.000 -1.652 9.040
! Energy above the lowest structure with this stoichiometry (meV/atom): 0
! Calculated volume (Å³ per atom): 16.02
! Raw formation energy (eV/atom): 0.68
! Total magnetization (μB per cell): 0.0

***

Record 6
! GGA-PBEsol ZrHCl, relaxed; values from VASP
&SYSTEM
  ibrav = 0, nat = 6, ntyp = 3
/
ATOMIC_SPECIES
Zr 91.22 Zr.upf
H 1.01 H.upf
Cl 35.45 Cl.upf
ATOMIC_POSITIONS angstrom
Zr 0.000 1.900 1.475
Zr 1.646 0.950 8.105
H 0.000 1.900 9.023
H 1.646 0.950 0.557
Cl 0.000 1.900 6.356
Cl 1.646 0.950 3.224
CELL_PARAMETERS angstrom
3.291 0.000 0.000
-1.646 2.850 0.000
0.000 0.000 9.580
! DFT total energy (eV per atom): -5.9106
! Calculated volume (Å³ per atom): 14.98
! Total magnetization (μB per cell): 0.0

***

Record 7
! GGA-PBEsol SiH2Rh2, relaxed; values from VASP
&SYSTEM
  ibrav = 0, nat = 10, ntyp = 3
/
ATOMIC_SPECIES
Si 28.09 Si.upf
H 1.01 H.upf
Rh 102.91 Rh.upf
ATOMIC_POSITIONS angstrom
Si 0.000 0.000 0.000
Si 2.838 2.838 0.000
H 0.466 2.372 0.000
H 2.372 5.209 0.000
H 3.304 0.466 0.000
H 5.209 3.304 0.000
Rh 1.087 1.751 1.436
Rh 1.751 4.589 1.436
Rh 3.925 1.087 1.436
Rh 4.589 3.925 1.436
CELL_PARAMETERS angstrom
5.676 0.000 0.000
0.000 5.676 0.000
0.000 0.000 2.872
! Energy above the lowest structure with this stoichiometry (meV/atom): 133
! Calculated volume (Å³ per atom): 9.25
! Total magnetization (μB per cell): 0.0

***

Record 8
! GGA-PBEsol Mg3Rh, relaxed; values from VASP
&SYSTEM
  ibrav = 0, nat = 4, ntyp = 2
/
ATOMIC_SPECIES
Mg 24.30 Mg.upf
Rh 102.91 Rh.upf
ATOMIC_POSITIONS angstrom
Mg 0.000 0.000 0.000
Mg 1.616 0.000 2.646
Mg 0.000 2.307 2.075
Rh 0.000 0.000 4.721
CELL_PARAMETERS angstrom
-1.616 2.307 4.721
1.616 -2.307 4.721
1.616 2.307 -4.721
! ΔE_f (kJ/mol of formula units): -99
! Calculated volume (Å³ per atom): 17.60
! Total magnetization (μB per cell): 0.0

***

- Among the records above, which one has the highest calculated volume?
  CaTlSbTe2